Entry 1:
Here is an optimized crystal structure of KAsCl2 from Alexandria. Energies are from GGA-PBE.

Cell: 3.5627 3.5627 30.0259 Å, 90.00 90.00 120.00°
Last column: nearest neighbours and their distance in Å.
Space group R-3m (No. 166, hexagonal axes)
Asymmetric unit:
1 K 0.0000 0.0000 0.0000 x3  2 Cl 2.82
2 As 0.0000 0.0000 0.5000 x3  6 Cl 3.00
3 Cl 0.0000 0.0000 0.0941 x6  1 K 2.82, 3 As 3.00

Summary:
The raw formation energy comes out at -0.64 eV per formula unit. The polymorph energy (0 for the lowest one) comes out at 2.66 eV/f.u.

***

Entry 2:
Here is an optimized crystal structure of Rb3Ho3RuO8 from Alexandria. Energies are from GGA-PBE.

Cell: 6.7669 6.7669 19.7414 Å, 90.00 90.00 120.00°
Last column: nearest neighbours and their distance in Å.
Space group R-3m (No. 166, hexagonal axes)
Asymmetric unit:
1 Rb 0.0000 0.5000 0.0000 x9  6 O 2.90-2.91
2 Ho 0.0000 0.5000 0.5000 x9  6 O 2.26-2.30
3 Ru 0.0000 0.0000 0.5000 x3  6 O 2.11
4 O 0.0000 0.0000 0.2239 x6  3 Ho 2.26
5 O 0.0250 0.5125 0.2214 x18  1 Ru 2.11, 2 Ho 2.30

Summary:
The raw formation energy comes out at -35.24 eV per formula unit.

***

Entry 3:
Here is an optimized crystal structure of BaAlZn2Au from Alexandria. Energies are from GGA-PBE.

Cell: 4.5226 4.5802 11.1762 Å, 90.00 90.00 90.00°
Last column: nearest neighbours and their distance in Å.
Space group Imm2 (No. 44)
Asymmetric unit:
1 Ba 0.0000 0.0000 0.0000 x2  8 Zn 3.50-3.65, 4 Au 3.52, 4 Al 3.60-3.61
2 Al 0.0000 0.5000 0.7505 x2  2 Au 2.64, 2 Zn 2.69
3 Zn 0.0000 0.0000 0.6237 x2  2 Zn 2.63, 2 Al 2.69, 1 Au 2.81
4 Zn 0.0000 0.5000 0.2438 x2  2 Zn 2.63, 2 Au 2.71
5 Au 0.0000 0.0000 0.3727 x2  2 Al 2.64, 3 Zn 2.71-2.81

Summary:
The calculation puts the energy of formation at -0.37 eV per atom.

***

Entry 4:
Here is an optimized crystal structure of YPCl from Alexandria. Energies are from GGA-PBE.

Cell: 6.6790 6.6790 6.6790 Å, 90.00 90.00 90.00°
Last column: nearest neighbours and their distance in Å.
Space group F-43m (No. 216)
Asymmetric unit:
1 Y 0.0000 0.0000 0.0000 x4  4 Cl 2.89, 4 P 2.89
2 P 0.2500 0.2500 0.7500 x4  4 Y 2.89
3 Cl 0.2500 0.2500 0.2500 x4  4 Y 2.89

Summary:
The raw formation energy comes out at -2.98 eV per formula unit. The polymorph energy (0 for the lowest one) comes out at 1.36 eV/f.u.

***

Entry 5:
Here is an optimized crystal structure of BaLi4As3 from Alexandria. Energies are from GGA-PBE.

Cell: 4.5275 4.5275 8.2467 Å, 90.00 90.00 90.00°
Last column: nearest neighbours and their distance in Å.
Space group P4/mmm (No. 123)
Asymmetric unit:
1 Ba 0.0000 0.0000 0.0000 x1  8 As 3.43, 8 Li 3.59
2 Li 0.0000 0.5000 0.3374 x4  4 As 2.63-2.75, 1 Li 2.68
3 As 0.0000 0.0000 0.5000 x1  8 Li 2.63
4 As 0.5000 0.5000 0.1484 x2  1 As 2.45

Summary:
The calculation puts the energy of formation at -0.77 eV per atom.

***

Entry 6:
Here is an optimized crystal structure of NaCaRu2 from Alexandria. Energies are from GGA-PBE.

Cell: 12.0846 4.0152 8.3497 Å, 90.00 92.93 90.00°
Last column: nearest neighbours and their distance in Å.
Space group Cm (No. 8)
Asymmetric unit:
1 Na 0.0000 0.0000 0.0000 x2  5 Ru 3.04-3.20
2 Na 0.2192 0.5000 0.8421 x2  1 Ru 2.92
3 Ca 0.1463 0.0000 0.4384 x2  5 Ru 2.97-3.07
4 Ca 0.4196 0.0000 0.5993 x2  3 Ru 2.90-3.13
5 Ru 0.1711 0.5000 0.1809 x2  4 Ru 2.38-2.59
6 Ru 0.2875 0.0000 0.1523 x2  5 Ru 2.47-2.60
7 Ru 0.3682 0.5000 0.3184 x2  5 Ru 2.51-2.60
8 Ru 0.4871 0.0000 0.2711 x2  4 Ru 2.38-2.56

Summary:
The polymorph energy (0 for the lowest one) comes out at 0.58 eV/f.u. The calculation puts the energy of formation at 0.31 eV per atom.

***

Entry 7:
Here is an optimized crystal structure of Nd4Cd5In2 from Alexandria. Energies are from GGA-PBE.

Cell: 8.0463 3.6640 10.4194 Å, 90.00 95.65 90.00°
Last column: nearest neighbours and their distance in Å.
Space group P2/m (No. 10)
Asymmetric unit:
1 Nd 0.1700 0.0000 0.3884 x2  2 In 3.24, 8 Cd 3.34-3.53
2 Nd 0.2778 0.0000 0.9402 x2  4 In 3.33-3.35, 6 Cd 3.40-3.49, 3 Nd 3.66-3.67
3 Cd 0.1926 0.5000 0.6630 x2  1 In 3.07, 2 Cd 3.12-3.14, 4 Nd 3.39-3.43
4 Cd 0.4409 0.5000 0.2081 x2  2 Cd 3.03-3.12, 1 In 3.06
5 Cd 0.5000 0.5000 0.5000 x1  4 Cd 3.03-3.14, 4 Nd 3.34
6 In 0.0634 0.5000 0.1368 x2  1 In 2.93, 2 Cd 3.06-3.07, 2 Nd 3.24

Summary:
The calculation puts the energy of formation at -0.30 eV per atom.

***

Entry 8:
Here is an optimized crystal structure of UCuSbS from Alexandria. Energies are from GGA-PBE.

Cell: 4.3287 4.3287 8.7566 Å, 90.00 90.00 90.00°
Last column: nearest neighbours and their distance in Å.
Space group P4/nmm (No. 129, origin choice 2)
Asymmetric unit:
1 U 0.2500 0.2500 0.1897 x2  4 S 2.73
2 Cu 0.2500 0.7500 0.5000 x2  4 Sb 2.65
3 Sb 0.2500 0.2500 0.6742 x2  4 Cu 2.65
4 S 0.2500 0.7500 0.0000 x2  4 U 2.73

Summary:
The raw formation energy comes out at -2.39 eV per formula unit.